Entry 1:
ZnAu3F: relaxed, GGA-PBE.

Cell: 4.840 4.840 4.840 Å, 90.00 90.00 90.00°
Space group Pm-3m (No. 221)
One atom of each set of equivalent atoms:
Zn (0.000, 0.000, 0.000) (multiplicity 1)
Au (0.000, 0.000, 0.500) (multiplicity 3)
F (0.500, 0.500, 0.500) (multiplicity 1)

Output
Energy, eV/atom: -2.23
DOS at the Fermi energy, states/eV/cell: 4.5
Formation energy without anion corrections, eV/atom: 0.3699

***

Entry 2:
Sc2TaCo: relaxed, GGA-PBE.

Cell: 6.527 6.527 6.527 Å, 90.00 90.00 90.00°
Space group F-43m (No. 216)
One atom of each set of equivalent atoms:
Sc (0.000, 0.000, 0.000) (multiplicity 4)
Sc (0.250, 0.250, 0.250) (multiplicity 4)
Ta (0.250, 0.250, 0.750) (multiplicity 4)
Co (0.000, 0.000, 0.500) (multiplicity 4)

Output
Energy, eV/atom: -7.68
DOS at the Fermi energy, states/eV/cell: 29.0
ΔE_f, eV per formula unit: 0.9

***

Entry 3:
CuAu: relaxed, GGA-PBE.

Cell: 8.908 7.825 5.310 Å, 90.00 90.00 90.00°
Space group Pbcm (No. 57)
One atom of each set of equivalent atoms:
Cu (0.100, 0.061, 0.250) (multiplicity 4)
Cu (0.371, 0.611, 0.250) (multiplicity 4)
Cu (0.398, 0.250, 0.000) (multiplicity 4)
Au (0.123, 0.750, 0.000) (multiplicity 4)
Au (0.158, 0.113, 0.750) (multiplicity 4)
Au (0.380, 0.554, 0.750) (multiplicity 4)

Output
Energy, eV/atom: -3.67
DOS at the Fermi energy, states/eV/cell: 6.8
ΔE_f, eV per formula unit: 0.0

***

Entry 4:
Nd2SnHg4Pb2: relaxed, GGA-PBE.

Cell: 6.946 6.946 11.003 Å, 90.00 90.00 90.00°
Space group I4/mmm (No. 139)
One atom of each set of equivalent atoms:
Nd (0.000, 0.000, 0.222) (multiplicity 4)
Sn (0.000, 0.000, 0.500) (multiplicity 2)
Hg (0.218, 0.218, 0.000) (multiplicity 8)
Pb (0.000, 0.500, 0.250) (multiplicity 4)

Output
Energy, eV/atom: -2.63
DOS at the Fermi energy, states/eV/cell: 12.9
ΔE_f, eV per formula unit: -1.5

***

Entry 5:
LaSb4: relaxed, GGA-PBE.

Cell: 4.369 4.369 16.453 Å, 90.00 90.00 90.00°
Space group I4/mmm (No. 139)
One atom of each set of equivalent atoms:
La (0.000, 0.000, 0.000) (multiplicity 2)
Sb (0.000, 0.000, 0.410) (multiplicity 4)
Sb (0.000, 0.500, 0.250) (multiplicity 4)

Output
Energy, eV/atom: -4.52
DOS at the Fermi energy, states/eV/cell: 8.3
Formation energy without anion corrections, eV/atom: -0.2370

***

Entry 6:
La2SmPuSe4: relaxed, GGA-PBE.

Cell: 7.335 4.223 7.362 Å, 90.00 109.27 90.00°
Space group P2/m (No. 10)
One atom of each set of equivalent atoms:
La (0.000, 0.000, 0.000) (multiplicity 1)
La (0.500, 0.500, 0.000) (multiplicity 1)
Sm (0.000, 0.500, 0.500) (multiplicity 1)
Pu (0.500, 0.000, 0.500) (multiplicity 1)
Se (0.248, 0.000, 0.739) (multiplicity 2)
Se (0.255, 0.500, 0.262) (multiplicity 2)

Output
Energy, eV/atom: -7.20
DOS at the Fermi energy, states/eV/cell: 10.7
Formation energy without anion corrections, eV/atom: -1.8456